Here is Re2MoPd after structural relaxation from Alexandria. Energies are from GGA-PBEsol.

Calculated values
crystal system: cubic
M_tot: 0.000 μB/atom
ΔH_f (0 K): 0.370 eV/atom
total energy: -42.91 eV per cell

Cell: 4.376 4.376 4.376 Å, 60.00 60.00 60.00°
Atoms (fractional coordinates):
Mo (0.000, 0.000, 0.000)
Re (0.750, 0.750, 0.750)
Re (0.250, 0.250, 0.250)
Pd (0.500, 0.500, 0.500)